The following is a DFT calculation (PBEsol) of a geometry-optimized TcTe2PdI structure.

The calculation puts the density of states at the Fermi level at 0.832 states/eV/atom. The calculated volume comes out at 143.5 Å³/cell. Its energy relative to the elements, uncorrected is 5.25 eV per formula unit. Its crystal system is tetragonal.

Unit cell a=5.2249 b=5.2249 c=5.2582 alpha=90.00 beta=90.00 gamma=90.00
Space group P4/mmm (No. 123)
Symmetry-distinct sites (fractional):
Tc1 0.0000 0.0000 0.0000
Te1 0.0000 0.5000 0.5000
Pd1 0.5000 0.5000 0.5000
I1 0.5000 0.5000 0.0000